No. 1
This record from Alexandria describes a relaxed structure of Mg2NiF. The functional is PBE+U.

```
Mg2NiF
1.0
-3.438 -1.754 -2.051
-4.048 1.290 1.025
-2.312 2.397 -2.830
Ni Mg F
1 2 1
direct
0.500 0.500 0.500 Ni
0.250 0.250 0.250 Mg
0.750 0.750 0.750 Mg
0.000 0.000 0.000 F
```

Results
* space-group type: Fm-3m, No. 225
* energy: -2.24 eV per atom
* Fermi-level density of states: 2.4 states/eV/cell

No. 2
This record from Alexandria describes a relaxed structure of MgNi2F. The functional is PBE+U.

```
MgNi2F
1.0
-0.168 2.596 3.295
-2.634 3.268 -0.035
-3.373 0.004 2.499
Ni Mg F
2 1 1
direct
0.250 0.250 0.250 Ni
0.750 0.750 0.750 Ni
0.500 0.500 0.500 Mg
0.000 0.000 0.000 F
```

Results
* space-group type: Fm-3m, No. 225
* energy: -1.65 eV per atom
* Fermi-level density of states: 2.4 states/eV/cell

No. 3
This record from Alexandria describes a relaxed structure of MgNi2F2. The functional is PBE+U.

```
MgNi2F2
1.0
-0.491 -5.153 0.486
4.650 -0.224 2.316
-2.134 0.613 4.345
Ni Mg F
4 2 4
direct
0.182 0.682 0.500 Ni
0.682 0.818 0.500 Ni
0.818 0.318 0.500 Ni
0.318 0.182 0.500 Ni
0.000 0.000 0.000 Mg
0.500 0.500 0.000 Mg
0.182 0.682 0.000 F
0.682 0.818 0.000 F
0.818 0.318 0.000 F
0.318 0.182 0.000 F
```

Results
* space-group type: P4/mbm, No. 127
* energy: -3.37 eV per atom
* Fermi-level density of states: 1.3 states/eV/cell

No. 4
This record from Alexandria describes a relaxed structure of MgNiF6. The functional is PBE+U.

```
MgNiF6
1.0
4.818 0.000 0.000
-2.409 4.173 0.000
0.000 0.000 8.971
Mg Ni F
2 2 12
direct
0.333 0.667 0.250 Mg
0.667 0.333 0.750 Mg
0.000 0.000 0.500 Ni
0.000 0.000 0.000 Ni
0.299 0.310 0.384 F
0.701 0.690 0.616 F
0.011 0.701 0.384 F
0.299 0.989 0.116 F
0.989 0.299 0.616 F
0.701 0.011 0.884 F
0.690 0.989 0.384 F
0.011 0.310 0.116 F
0.310 0.011 0.616 F
0.989 0.690 0.884 F
0.690 0.701 0.116 F
0.310 0.299 0.884 F
```

Results
* space-group type: P-31c, No. 163
* energy: -4.05 eV per atom
* Fermi-level density of states: 0.0 states/eV/cell

No. 5
This record from Alexandria describes a relaxed structure of Mg3NiF. The functional is PBE+U.

```
Mg3NiF
1.0
-1.393 -0.110 4.037
-3.606 -1.889 -1.295
1.819 -3.830 0.523
Ni Mg F
1 3 1
direct
0.500 0.500 0.500 Ni
0.000 0.500 0.000 Mg
0.000 0.000 0.500 Mg
0.500 0.000 0.000 Mg
0.000 0.000 0.000 F
```

Results
* space-group type: Pm-3m, No. 221
* energy: -2.31 eV per atom
* Fermi-level density of states: 1.1 states/eV/cell

No. 6
This record from Alexandria describes a relaxed structure of MgNiF4. The functional is PBE+U.

```
MgNiF4
1.0
-2.529 2.529 5.025
2.529 -2.529 5.025
2.529 2.529 -5.025
Mg Ni F
2 2 8
direct
0.250 0.250 0.000 Mg
0.750 0.750 0.000 Mg
0.000 0.500 0.500 Ni
0.500 0.000 0.500 Ni
0.924 0.837 0.500 F
0.663 0.576 0.500 F
0.076 0.163 0.500 F
0.163 0.663 0.087 F
0.337 0.424 0.500 F
0.424 0.924 0.087 F
0.837 0.337 0.913 F
0.576 0.076 0.913 F
```

Results
* space-group type: I4/mcm, No. 140
* energy: -4.65 eV per atom
* Fermi-level density of states: 0.0 states/eV/cell

No. 7
This record from Alexandria describes a relaxed structure of MgNi2F2. The functional is PBE+U.

```
MgNi2F2
1.0
3.637 0.000 0.000
0.000 3.637 0.000
1.819 1.819 4.776
Ni Mg F
2 1 2
direct
0.385 0.385 0.230 Ni
0.615 0.615 0.770 Ni
0.000 0.000 0.000 Mg
0.750 0.250 0.500 F
0.250 0.750 0.500 F
```

Results
* space-group type: I4/mmm, No. 139
* energy: -2.80 eV per atom
* Fermi-level density of states: 0.0 states/eV/cell

No. 8
This record from Alexandria describes a relaxed structure of MgNi2F6. The functional is PBE+U.

```
MgNi2F6
1.0
4.486 0.000 0.000
0.000 4.415 -2.549
0.000 0.000 5.098
Mg Ni F
1 2 6
direct
0.000 0.000 0.000 Mg
0.500 0.667 0.333 Ni
0.500 0.333 0.667 Ni
0.744 0.669 0.669 F
0.256 0.669 0.000 F
0.256 0.000 0.669 F
0.744 0.331 0.000 F
0.256 0.331 0.331 F
0.744 0.000 0.331 F
```

Results
* space-group type: P-31m, No. 162
* energy: -4.60 eV per atom
* Fermi-level density of states: 0.0 states/eV/cell